(1)
HoErCdCu | Alexandria via LeMat-Bulk | GGA-PBE | relaxed; DOS at the Fermi energy = 3.30 states/eV/f.u.; E = -3.775 eV per atom; calculated formation energy = -0.237 eV per atom; space-group type = No. 216
1.0
5.083 0.000 0.000
2.542 4.402 0.000
2.542 1.467 4.151
Er Cu Cd Ho
1 1 1 1
direct
0.000 0.000 0.000
0.250 0.250 0.250
0.750 0.750 0.750
0.500 0.500 0.500

=====

(2)
ErCdInCu | Alexandria via LeMat-Bulk | GGA-PBE | relaxed; DOS at the Fermi energy = 2.27 states/eV/f.u.; E = -3.291 eV per atom; calculated formation energy = -0.213 eV per atom; space-group type = No. 216
1.0
4.890 0.000 0.000
2.445 4.235 0.000
2.445 1.412 3.992
Cd In Cu Er
1 1 1 1
direct
0.750 0.750 0.750
0.000 0.000 0.000
0.250 0.250 0.250
0.500 0.500 0.500

=====

(3)
ErCdCuIr | Alexandria via LeMat-Bulk | GGA-PBE | relaxed; DOS at the Fermi energy = 1.40 states/eV/f.u.; E = -4.913 eV per atom; calculated formation energy = -0.304 eV per atom; space-group type = No. 216
1.0
4.703 0.000 0.000
2.351 4.073 0.000
2.351 1.358 3.840
Er Cd Ir Cu
1 1 1 1
direct
0.250 0.250 0.250
0.750 0.750 0.750
0.500 0.500 0.500
0.000 0.000 0.000

=====

(4)
ErLuCdCu | Alexandria via LeMat-Bulk | GGA-PBE | relaxed; DOS at the Fermi energy = 3.95 states/eV/f.u.; E = -3.765 eV per atom; calculated formation energy = -0.241 eV per atom; space-group type = No. 216
1.0
-4.494 0.166 2.286
-2.021 -4.213 1.901
-0.313 -0.616 4.997
Lu Cu Cd Er
1 1 1 1
direct
0.500 0.500 0.500
0.250 0.250 0.250
0.750 0.750 0.750
0.000 0.000 0.000